# 1
# YCdSeBr2, relaxed, DFT PBE
# E_form (uncorrected) ... -5.0 eV per formula unit
# Raw total energy ... -3.85 eV per atom
# Symmetry ... P4/mmm, No. 123
data_YCdSeBr2
_chemical_formula_sum 'Y1 Cd1 Se1 Br2'
_symmetry_space_group_name_H-M 'P 1'
_symmetry_Int_Tables_number 1
_cell_length_a 5.531
_cell_length_b 5.531
_cell_length_c 5.640
_cell_angle_alpha 90.00
_cell_angle_beta 90.00
_cell_angle_gamma 90.00
loop_
_symmetry_equiv_pos_as_xyz
'x,y,z'
loop_
_atom_site_label
_atom_site_type_symbol
_atom_site_fract_x
_atom_site_fract_y
_atom_site_fract_z
Y1 Y 0.000 0.000 0.000
Se1 Se 0.000 0.000 0.500
Br1 Br 0.000 0.500 0.000
Br2 Br 0.500 0.000 0.000
Cd1 Cd 0.500 0.500 0.500

***

# 2
# ZnCdSeBr2, relaxed, DFT PBE
# E_form (uncorrected) ... -0.7 eV per formula unit
# Raw total energy ... -1.94 eV per atom
# Symmetry ... P4/mmm, No. 123
data_ZnCdSeBr2
_chemical_formula_sum 'Zn1 Cd1 Se1 Br2'
_symmetry_space_group_name_H-M 'P 1'
_symmetry_Int_Tables_number 1
_cell_length_a 5.032
_cell_length_b 5.032
_cell_length_c 5.299
_cell_angle_alpha 90.00
_cell_angle_beta 90.00
_cell_angle_gamma 90.00
loop_
_symmetry_equiv_pos_as_xyz
'x,y,z'
loop_
_atom_site_label
_atom_site_type_symbol
_atom_site_fract_x
_atom_site_fract_y
_atom_site_fract_z
Zn1 Zn 0.000 0.000 0.000
Se1 Se 0.000 0.000 0.500
Br1 Br 0.000 0.500 0.000
Br2 Br 0.500 0.000 0.000
Cd1 Cd 0.500 0.500 0.500

***

# 3
# ZnCdSeBr2, relaxed, DFT PBE
# E_form (uncorrected) ... 0.5 eV per formula unit
# Raw total energy ... -1.71 eV per atom
# Symmetry ... P4/mmm, No. 123
data_ZnCdSeBr2
_chemical_formula_sum 'Zn1 Cd1 Se1 Br2'
_symmetry_space_group_name_H-M 'P 1'
_symmetry_Int_Tables_number 1
_cell_length_a 5.368
_cell_length_b 5.368
_cell_length_c 5.503
_cell_angle_alpha 90.00
_cell_angle_beta 90.00
_cell_angle_gamma 90.00
loop_
_symmetry_equiv_pos_as_xyz
'x,y,z'
loop_
_atom_site_label
_atom_site_type_symbol
_atom_site_fract_x
_atom_site_fract_y
_atom_site_fract_z
Zn1 Zn 0.500 0.500 0.500
Se1 Se 0.000 0.000 0.500
Br1 Br 0.000 0.500 0.000
Br2 Br 0.500 0.000 0.000
Cd1 Cd 0.000 0.000 0.000

***

# 4
# Cd2SiBr, relaxed, DFT PBE
# E_form (uncorrected) ... 1.7 eV per formula unit
# Raw total energy ... -1.80 eV per atom
# Symmetry ... I4/mmm, No. 139
data_Cd2SiBr
_chemical_formula_sum 'Cd2 Si1 Br1'
_symmetry_space_group_name_H-M 'P 1'
_symmetry_Int_Tables_number 1
_cell_length_a 5.612
_cell_length_b 5.612
_cell_length_c 5.612
_cell_angle_alpha 131.64
_cell_angle_beta 131.64
_cell_angle_gamma 70.80
loop_
_symmetry_equiv_pos_as_xyz
'x,y,z'
loop_
_atom_site_label
_atom_site_type_symbol
_atom_site_fract_x
_atom_site_fract_y
_atom_site_fract_z
Br1 Br 0.750 0.250 0.500
Cd1 Cd 0.000 0.000 0.000
Cd2 Cd 0.500 0.500 0.000
Si1 Si 0.250 0.750 0.500

***

Copy entry 2 word for word.
# ZnCdSeBr2, relaxed, DFT PBE
# E_form (uncorrected) ... -0.7 eV per formula unit
# Raw total energy ... -1.94 eV per atom
# Symmetry ... P4/mmm, No. 123
data_ZnCdSeBr2
_chemical_formula_sum 'Zn1 Cd1 Se1 Br2'
_symmetry_space_group_name_H-M 'P 1'
_symmetry_Int_Tables_number 1
_cell_length_a 5.032
_cell_length_b 5.032
_cell_length_c 5.299
_cell_angle_alpha 90.00
_cell_angle_beta 90.00
_cell_angle_gamma 90.00
loop_
_symmetry_equiv_pos_as_xyz
'x,y,z'
loop_
_atom_site_label
_atom_site_type_symbol
_atom_site_fract_x
_atom_site_fract_y
_atom_site_fract_z
Zn1 Zn 0.000 0.000 0.000
Se1 Se 0.000 0.000 0.500
Br1 Br 0.000 0.500 0.000
Br2 Br 0.500 0.000 0.000
Cd1 Cd 0.500 0.500 0.500

***

Question: What is the formula in the first record?
Answer: YCdSeBr2

***

Question: Look up the raw total energy of the first one.
Answer: -3.85 eV per atom

***

Question: The highest raw total energy belongs to which entry?
Answer: number 3